Here is a relaxed structure of Pa3Fe from Alexandria. Energies are from PBE-GGA.

Properties
- polymorph energy (0 for the lowest one) (eV/atom) = 0.062
- crystal system = orthorhombic
- volume (Å³/atom) = 21.6
- formation energy from the elements (kcal/mol of atoms) = -1.7

abc: 3.333 9.292 5.574
angles: 90.00 90.00 90.00
Space group Imm2 (No. 44)
Asymmetric unit:
Pa (0.000, 0.000, 0.000) (multiplicity 2)
Pa (0.000, 0.201, 0.534) (multiplicity 4)
Fe (0.000, 0.500, 0.888) (multiplicity 2)

Here is a relaxed structure of Pa2Fe2Pb from Alexandria. Energies are from PBE-GGA.

Properties
- crystal system = tetragonal
- volume (Å³/atom) = 19.4
- formation energy from the elements (kcal/mol of atoms) = -3.8

abc: 7.471 7.471 3.472
angles: 90.00 90.00 90.00
Space group P4/mbm (No. 127)
Asymmetric unit:
Pa (0.161, 0.339, 0.000) (multiplicity 4)
Fe (0.133, 0.633, 0.500) (multiplicity 4)
Pb (0.000, 0.000, 0.500) (multiplicity 2)

Here is a relaxed structure of PaFePb from Alexandria. Energies are from PBE-GGA.

Properties
- crystal system = tetragonal
- volume (Å³/atom) = 23.0
- formation energy from the elements (kcal/mol of atoms) = 1.6

abc: 3.379 3.379 24.207
angles: 90.00 90.00 90.00
Space group I4/mmm (No. 139)
Asymmetric unit:
Pa (0.000, 0.000, 0.171) (multiplicity 4)
Fe (0.000, 0.000, 0.278) (multiplicity 4)
Pb (0.000, 0.000, 0.436) (multiplicity 4)

Here is a relaxed structure of PaFePbS4 from Alexandria. Energies are from PBE-GGA.

Properties
- crystal system = monoclinic
- calculated total energy (eV per atom) = -6.347
- volume (Å³/atom) = 21.8

abc: 6.472 6.043 8.213
angles: 90.00 107.88 90.00
Space group P2_1/m (No. 11)
Asymmetric unit:
Pa (0.248, 0.250, 0.051) (multiplicity 2)
Fe (0.239, 0.750, 0.830) (multiplicity 2)
Pb (0.273, 0.250, 0.549) (multiplicity 2)
S (0.018, 0.508, 0.216) (multiplicity 4)
S (0.423, 0.750, 0.637) (multiplicity 2)
S (0.443, 0.750, 0.105) (multiplicity 2)

Here is a relaxed structure of PaFePd6 from Alexandria. Energies are from PBE-GGA.

Properties
- crystal system = monoclinic
- volume (Å³/atom) = 17.5
- formation energy from the elements (kcal/mol of atoms) = -2.9

abc: 5.931 9.957 5.600
angles: 90.00 121.95 90.00
Space group C2/m (No. 12)
Asymmetric unit:
Pa (0.000, 0.000, 0.000) (multiplicity 2)
Fe (0.000, 0.000, 0.500) (multiplicity 2)
Pd (0.008, 0.228, 0.746) (multiplicity 8)
Pd (0.016, 0.500, 0.252) (multiplicity 4)

Here is a relaxed structure of Pa2FePd from Alexandria. Energies are from PBE-GGA.

Properties
- polymorph energy (0 for the lowest one) (eV/atom) = 0.000
- crystal system = tetragonal
- volume (Å³/atom) = 19.6
- formation energy from the elements (kcal/mol of atoms) = -4.5

abc: 3.354 3.354 6.975
angles: 90.00 90.00 90.00
Space group P4/mmm (No. 123)
Asymmetric unit:
Pa (0.000, 0.000, 0.217) (multiplicity 2)
Fe (0.500, 0.500, 0.000) (multiplicity 1)
Pd (0.500, 0.500, 0.500) (multiplicity 1)